Density functional theory data (GGA-PBE) for a relaxed TbY5Mg4 crystal.

Calculated values
**Formation energy from the elements**: -72 meV/atom
**M_tot**: 0.0 Bohr magnetons per cell
**DFT total energy**: -44.04 eV/cell
**Calculated density**: 4080 kg/m³

CIF file:
```
data_TbY5Mg4
_cell_length_a 3.7407
_cell_length_b 3.7407
_cell_length_c 20.3784
_cell_angle_alpha 90.00
_cell_angle_beta 90.00
_cell_angle_gamma 90.00
_space_group_name_H-M_alt 'P 4/m m m'
_space_group_IT_number 123
_space_group_name_Hall '-P 4 2'
loop_
_atom_site_label
_atom_site_type_symbol
_atom_site_fract_x
_atom_site_fract_y
_atom_site_fract_z
Tb1 Tb 0.0000 0.0000 0.0000
Y1 Y 0.5000 0.5000 0.1183
Y2 Y 0.5000 0.5000 0.3098
Y3 Y 0.5000 0.5000 0.5000
Mg1 Mg 0.0000 0.0000 0.2149
Mg2 Mg 0.0000 0.0000 0.4044
```



Density functional theory data (GGA-PBE) for a relaxed Tb4Y3Mg2 crystal.

Calculated values
**Formation energy from the elements**: 6 meV/atom
**M_tot**: 0.0 Bohr magnetons per cell
**DFT total energy**: -82.09 eV/cell
**Calculated density**: 5778 kg/m³

CIF file:
```
data_Tb4Y3Mg2
_cell_length_a 14.8905
_cell_length_b 4.9496
_cell_length_c 7.8324
_cell_angle_alpha 90.00
_cell_angle_beta 108.74
_cell_angle_gamma 90.00
_space_group_name_H-M_alt 'C 1 2/m 1'
_space_group_IT_number 12
loop_
_space_group_symop_operation_xyz
'x,y,z'
'-x,-y,-z'
'-x,y,-z'
'x,-y,z'
'x+1/2,y+1/2,z'
'-x+1/2,-y+1/2,-z'
'-x+1/2,y+1/2,-z'
'x+1/2,-y+1/2,z'
loop_
_atom_site_label
_atom_site_type_symbol
_atom_site_fract_x
_atom_site_fract_y
_atom_site_fract_z
Tb1 Tb 0.0560 0.0000 0.3341
Tb2 Tb 0.2212 0.5000 0.3298
Y1 Y 0.0000 0.5000 0.0000
Y2 Y 0.1123 0.5000 0.6686
Mg1 Mg 0.1684 0.0000 0.9988
```



Density functional theory data (GGA-PBE) for a relaxed Tb5YMg6 crystal.

Calculated values
**Formation energy from the elements**: -90 meV/atom
**M_tot**: 0.0 Bohr magnetons per cell
**DFT total energy**: -40.26 eV/cell
**Calculated density**: 5194 kg/m³

CIF file:
```
data_Tb5YMg6
_cell_length_a 5.3817
_cell_length_b 7.5775
_cell_length_c 8.5071
_cell_angle_alpha 90.00
_cell_angle_beta 108.44
_cell_angle_gamma 90.00
_space_group_name_H-M_alt 'P 1 2/m 1'
_space_group_IT_number 10
loop_
_space_group_symop_operation_xyz
'x,y,z'
'-x,-y,-z'
'-x,y,-z'
'x,-y,z'
loop_
_atom_site_label
_atom_site_type_symbol
_atom_site_fract_x
_atom_site_fract_y
_atom_site_fract_z
Tb1 Tb 0.0000 0.0000 0.0000
Tb2 Tb 0.3350 0.0000 0.6666
Tb3 Tb 0.3350 0.5000 0.6667
Y1 Y 0.0000 0.5000 0.0000
Mg1 Mg 0.1645 0.2500 0.3335
Mg2 Mg 0.5000 0.2504 0.0000
```